1.
A plane-wave DFT calculation with meta-GGA SCAN was carried out for a PBEsol-optimized structure of Hg5Br.

abc: 3.9622 3.7017 11.1352
angles: 99.57 90.00 90.00
Positions (direct):
Hg1 0.5000 0.4331 0.8662
Hg2 0.0000 0.6145 0.2290
Hg3 0.0000 0.3358 0.6716
Hg4 0.5000 0.7749 0.5497
Hg5 0.5000 0.1685 0.3369
Br1 0.0000 0.0066 0.0132

formation energy from raw total energies: -0.073 eV/atom
total DFT energy (no corrections): -60.12 eV per atom
spin magnetization: 0.0 μB per cell
crystal system: orthorhombic
symmetry: No. 38



2.
A plane-wave DFT calculation with meta-GGA SCAN was carried out for a PBEsol-optimized structure of Hg3Br.

abc: 6.1379 6.1379 6.1379
angles: 90.00 90.00 90.00
Positions (direct):
Hg1 0.5000 0.0000 0.0000
Br1 0.0000 0.0000 0.0000
Hg2 0.0000 0.0000 0.5000
Hg3 0.0000 0.5000 0.0000

formation energy from raw total energies: 0.314 eV/atom
total DFT energy (no corrections): -55.68 eV per atom
spin magnetization: 0.0 μB per cell
crystal system: cubic
symmetry: No. 221



3.
A plane-wave DFT calculation with meta-GGA SCAN was carried out for a PBEsol-optimized structure of Hg24Br5.

abc: 9.7685 9.7685 9.7685
angles: 109.47 109.47 109.47
Positions (direct):
Hg1 0.1772 0.8130 0.8130
Br1 0.6271 0.0000 0.0000
Br2 0.0000 0.6271 0.0000
Hg2 0.6159 0.2925 0.6159
Hg3 0.8130 0.1772 0.8130
Hg4 0.3234 0.7075 0.3234
Hg5 0.6766 0.3841 0.0000
Hg6 0.6159 0.6159 0.2925
Hg7 0.0000 0.1870 0.3643
Hg8 0.3841 0.6766 0.0000
Hg9 0.6357 0.6357 0.8228
Br3 0.0000 0.0000 0.0000
Hg10 0.1870 0.3643 0.0000
Hg11 0.8228 0.6357 0.6357
Hg12 0.3841 0.0000 0.6766
Br4 0.3729 0.3729 0.3729
Hg13 0.7075 0.3234 0.3234
Hg14 0.6357 0.8228 0.6357
Hg15 0.0000 0.3643 0.1870
Hg16 0.0000 0.3841 0.6766
Hg17 0.6766 0.0000 0.3841
Hg18 0.3643 0.0000 0.1870
Br5 0.0000 0.0000 0.6271
Hg19 0.0000 0.6766 0.3841
Hg20 0.1870 0.0000 0.3643
Hg21 0.8130 0.8130 0.1772
Hg22 0.3643 0.1870 0.0000
Hg23 0.2925 0.6159 0.6159
Hg24 0.3234 0.3234 0.7075

formation energy from raw total energies: -0.051 eV/atom
total DFT energy (no corrections): -59.82 eV per atom
spin magnetization: 0.0 μB per cell
crystal system: cubic
symmetry: No. 217



4.
A plane-wave DFT calculation with meta-GGA SCAN was carried out for a PBEsol-optimized structure of Hg2Br.

abc: 4.1087 4.1087 5.5246
angles: 90.00 90.00 120.00
Positions (direct):
Hg1 0.6667 0.3333 0.6456
Br1 0.0000 0.0000 0.0000
Hg2 0.3333 0.6667 0.3544

formation energy from raw total energies: -0.211 eV/atom
total DFT energy (no corrections): -52.14 eV per atom
spin magnetization: 0.0 μB per cell
crystal system: trigonal
symmetry: No. 164



5.
A plane-wave DFT calculation with meta-GGA SCAN was carried out for a PBEsol-optimized structure of Hg3Br.

abc: 3.9102 5.7103 5.7103
angles: 63.59 69.98 69.98
Positions (direct):
Hg1 0.7598 0.7402 0.7402
Hg2 0.2402 0.2598 0.2598
Br1 0.0000 0.0000 0.0000
Hg3 0.5000 0.5000 0.5000

formation energy from raw total energies: -0.138 eV/atom
total DFT energy (no corrections): -56.13 eV per atom
spin magnetization: 0.0 μB per cell
crystal system: orthorhombic
symmetry: No. 71



6.
A plane-wave DFT calculation with meta-GGA SCAN was carried out for a PBEsol-optimized structure of Hg2Br.

abc: 4.0971 4.0971 11.1720
angles: 90.00 90.00 120.00
Positions (direct):
Hg1 0.6667 0.3333 0.0719
Hg2 0.6667 0.3333 0.4281
Br1 0.0000 0.0000 0.7500
Br2 0.0000 0.0000 0.2500
Hg3 0.3333 0.6667 0.5719
Hg4 0.3333 0.6667 0.9281

formation energy from raw total energies: -0.199 eV/atom
total DFT energy (no corrections): -52.13 eV per atom
spin magnetization: 0.0 μB per cell
crystal system: hexagonal
symmetry: No. 194



7.
A plane-wave DFT calculation with meta-GGA SCAN was carried out for a PBEsol-optimized structure of Hg3Br.

abc: 7.6194 8.1451 8.1451
angles: 120.00 90.00 90.00
Positions (direct):
Hg1 0.7500 0.1788 0.3576
Hg2 0.5000 0.5000 0.5000
Hg3 0.5000 0.5000 0.0000
Hg4 0.2500 0.8212 0.1788
Br1 0.0000 0.0000 0.0000
Hg5 0.2500 0.8212 0.6424
Hg6 0.2500 0.3576 0.1788
Hg7 0.7500 0.1788 0.8212
Br2 0.5000 0.0000 0.0000
Hg8 0.5000 0.0000 0.5000
Hg9 0.0000 0.5000 0.5000
Br3 0.7500 0.6667 0.3333
Hg10 0.0000 0.5000 0.0000
Br4 0.2500 0.3333 0.6667
Hg11 0.7500 0.6424 0.8212
Hg12 0.0000 0.0000 0.5000

formation energy from raw total energies: -0.110 eV/atom
total DFT energy (no corrections): -56.10 eV per atom
spin magnetization: 0.0 μB per cell
crystal system: hexagonal
symmetry: No. 194



8.
A plane-wave DFT calculation with meta-GGA SCAN was carried out for a PBEsol-optimized structure of HgBr.

abc: 4.5790 4.5790 6.4704
angles: 110.72 110.72 90.00
Positions (direct):
Hg1 0.8843 0.8843 0.7687
Br1 0.3459 0.3459 0.6918
Br2 0.6541 0.6541 0.3082
Hg2 0.1157 0.1157 0.2313

formation energy from raw total energies: -0.436 eV/atom
total DFT energy (no corrections): -44.25 eV per atom
spin magnetization: 0.0 μB per cell
crystal system: tetragonal
symmetry: No. 139



9.
A plane-wave DFT calculation with meta-GGA SCAN was carried out for a PBEsol-optimized structure of Hg2IBr3.

abc: 4.1501 4.1501 12.6856
angles: 89.71 89.71 65.97
Positions (direct):
Br1 0.5627 0.5627 0.1943
Hg1 0.8441 0.8441 0.0708
Hg2 0.1550 0.1550 0.5584
Br2 0.8791 0.8791 0.4306
I1 0.4391 0.4391 0.6993
Br3 0.1199 0.1199 0.9435

formation energy from raw total energies: -0.400 eV/atom
total DFT energy (no corrections): -38.98 eV per atom
spin magnetization: 0.0 μB per cell
crystal system: monoclinic
symmetry: No. 8



10.
A plane-wave DFT calculation with meta-GGA SCAN was carried out for a PBEsol-optimized structure of Hg2I3Br.

abc: 4.2881 4.2881 13.1424
angles: 89.65 89.65 64.86
Positions (direct):
Hg1 0.6562 0.6562 0.8280
Hg2 0.3455 0.3455 0.3391
I1 0.6229 0.6229 0.4728
I2 0.0764 0.0764 0.2000
I3 0.3789 0.3789 0.9614
Br1 0.9201 0.9201 0.7035

formation energy from raw total energies: -0.305 eV/atom
total DFT energy (no corrections): -44.64 eV per atom
spin magnetization: 0.0 μB per cell
crystal system: monoclinic
symmetry: No. 8



11.
A plane-wave DFT calculation with meta-GGA SCAN was carried out for a PBEsol-optimized structure of HgIBr.

abc: 4.2400 4.2400 12.8269
angles: 90.00 90.00 114.02
Positions (direct):
Br1 0.5759 0.4241 0.1272
Hg1 0.8405 0.1595 0.9979
I1 0.1239 0.8761 0.8629
I2 0.8761 0.1239 0.3629
Br2 0.4241 0.5759 0.6272
Hg2 0.1595 0.8405 0.4979

formation energy from raw total energies: -0.356 eV/atom
total DFT energy (no corrections): -41.81 eV per atom
spin magnetization: 0.0 μB per cell
crystal system: orthorhombic
symmetry: No. 36



12.
A plane-wave DFT calculation with meta-GGA SCAN was carried out for a PBEsol-optimized structure of HgI3Br.

abc: 5.7921 5.7921 5.7921
angles: 90.00 90.00 90.00
Positions (direct):
Br1 0.0000 0.0000 0.0000
I1 0.5000 0.0000 0.0000
Hg1 0.5000 0.5000 0.5000
I2 0.0000 0.0000 0.5000
I3 0.0000 0.5000 0.0000

formation energy from raw total energies: 0.332 eV/atom
total DFT energy (no corrections): -39.24 eV per atom
spin magnetization: 0.0 μB per cell
crystal system: cubic
symmetry: No. 221